The following is a DFT calculation (PBE with a Hubbard U) of crystalline CsK2FeF6 at its relaxed geometry.

a b c (Å): 6.227 6.760 10.779
angles (deg): 90.00 124.18 90.00
Space group P2_1/c (No. 14)
Symmetry-distinct sites (fractional):
1 Cs 0.000 0.000 0.000 [2 per cell]
2 K 0.220 0.028 0.729 [4 per cell]
3 Fe 0.500 0.000 0.500 [2 per cell]
4 F 0.221 0.148 0.480 [4 per cell]
5 F 0.257 0.714 0.891 [4 per cell]
6 F 0.428 0.113 0.316 [4 per cell]

VASP energy ... -4.49 eV per atom